Entry 1:
LiScSi: optimized geometry, PBE.

a = 6.077 Å, b = 6.078 Å, c = 3.045 Å
α = 75.49°, β = 75.50°, γ = 29.01°
Atoms (fractional coordinates):
Sc1 0.315 0.315 0.685
Li1 0.026 0.026 0.974
Si1 0.659 0.659 0.341

Values from the calculation:
**Electronic total energy**: -14.327 eV/cell
**Uncorrected formation energy**: -0.22 eV/atom
**Total magnetic moment**: 0.00 μB/cell

---

Entry 2:
LiScSi: optimized geometry, PBE.

a = 3.077 Å, b = 3.077 Å, c = 7.041 Å
α = 90.00°, β = 90.00°, γ = 120.00°
Atoms (fractional coordinates):
Li1 0.000 0.000 0.962
Sc1 0.667 0.333 0.364
Si1 0.333 0.667 0.674

Values from the calculation:
**Electronic total energy**: -13.637 eV/cell
**Uncorrected formation energy**: 0.01 eV/atom
**Total magnetic moment**: 0.00 μB/cell

---

Entry 3:
LiScSi: optimized geometry, PBE.

a = 4.469 Å, b = 4.469 Å, c = 4.469 Å
α = 60.00°, β = 60.00°, γ = 60.00°
Atoms (fractional coordinates):
Li1 0.250 0.250 0.250
Sc1 0.000 0.000 0.000
Si1 0.750 0.750 0.750

Values from the calculation:
**Electronic total energy**: -13.566 eV/cell
**Uncorrected formation energy**: 0.03 eV/atom
**Total magnetic moment**: 0.00 μB/cell

---

Entry 4:
Li2ScSi2: optimized geometry, PBE.

a = 3.787 Å, b = 3.787 Å, c = 6.309 Å
α = 72.54°, β = 72.54°, γ = 90.00°
Atoms (fractional coordinates):
Si1 0.400 0.400 0.200
Si2 0.600 0.600 0.800
Li1 0.250 0.750 0.500
Li2 0.750 0.250 0.500
Sc1 0.000 0.000 0.000

Values from the calculation:
**Excess energy over the best structure of this formula in the dataset**: 0.0000 eV per atom
**Electronic total energy**: -23.050 eV/cell
**Uncorrected formation energy**: -0.41 eV/atom
**Total magnetic moment**: 0.00 μB/cell

---

- Number 3 is which compound?
  LiScSi